TiMnAs2Br | PBE-GGA | relaxed

The structure belongs to space group P4/mmm (No. 123); the cell edges are 4.649, 4.649 and 5.141 Å and the angles 90.00°, 90.00° and 90.00°. The inequivalent atoms are Ti at (0.000, 0.000, 0.000), Mn at (0.500, 0.500, 0.500), As at (0.000, 0.500, 0.500) and Br at (0.500, 0.500, 0.000).

The value obtained for the density is 5.0 g/cm3. The calculation puts the formation energy from raw total energies at 0.3609 eV/atom. Its size of the total moment is 4.7 μB/f.u. As for the density of states at the Fermi level: 4.545 states/eV/f.u. The value obtained for the excess energy over the best structure of this formula in the dataset is 13.79 kJ/mol of atoms.